K2NbZn | PBE-GGA | optimized geometry Values from VASP.

Values from the calculation:
E_form: 1.106 eV/atom
total magnetization: 9.12 Bohr magnetons per cell
N(E_F): 1.04 states/eV per atom

Cell and atoms, written as Quantum ESPRESSO input:
```
&SYSTEM
  ibrav = 0, nat = 8, ntyp = 3
/
ATOMIC_SPECIES
K 39.10 K.upf
Nb 92.91 Nb.upf
Zn 65.41 Zn.upf
CELL_PARAMETERS angstrom
-5.3001 10.3079 1.3373
-9.2164 -3.9663 -5.9548
-8.3653 2.3044 -0.0183
ATOMIC_POSITIONS crystal
K 0.4932 0.1250 0.2500
K 0.2568 0.6250 0.2500
K 0.3750 0.5068 0.7500
K 0.8750 0.7432 0.7500
Nb 0.0000 0.0000 0.0000
Nb 0.7500 0.2500 0.5000
Zn 0.5000 0.5000 0.0000
Zn 0.2500 0.7500 0.5000
```



KNbZn | PBE-GGA | optimized geometry Values from VASP.

Values from the calculation:
E_form: 1.125 eV/atom
total magnetization: 0.00 Bohr magnetons per cell
E above lowest polymorph: 895 meV/atom
N(E_F): 0.85 states/eV per atom

Cell and atoms, written as Quantum ESPRESSO input:
```
&SYSTEM
  ibrav = 0, nat = 6, ntyp = 3
/
ATOMIC_SPECIES
K 39.10 K.upf
Nb 92.91 Nb.upf
Zn 65.41 Zn.upf
CELL_PARAMETERS angstrom
4.4584 -2.5741 0.0000
0.0000 5.1481 0.0000
0.0000 0.0000 5.7016
ATOMIC_POSITIONS crystal
K 0.0000 0.0000 0.0000
K 0.0000 0.0000 0.5000
Nb 0.3333 0.6667 0.2500
Nb 0.6667 0.3333 0.7500
Zn 0.3333 0.6667 0.7500
Zn 0.6667 0.3333 0.2500
```



KNbZn2 | PBE-GGA | optimized geometry Values from VASP.

Values from the calculation:
E_form: 0.910 eV/atom
total magnetization: 0.00 Bohr magnetons per cell
E above lowest polymorph: 87 meV/atom
N(E_F): 0.61 states/eV per atom

Cell and atoms, written as Quantum ESPRESSO input:
```
&SYSTEM
  ibrav = 0, nat = 8, ntyp = 3
/
ATOMIC_SPECIES
K 39.10 K.upf
Nb 92.91 Nb.upf
Zn 65.41 Zn.upf
CELL_PARAMETERS angstrom
7.6789 0.0000 0.0000
0.0000 7.6789 0.0000
3.8395 3.8395 3.5188
ATOMIC_POSITIONS crystal
K 0.5000 0.5000 0.0000
K 0.2500 0.7500 0.5000
Nb 0.0000 0.0000 0.0000
Nb 0.7500 0.2500 0.5000
Zn 0.6785 0.1250 0.2500
Zn 0.0715 0.6250 0.2500
Zn 0.3750 0.3215 0.7500
Zn 0.8750 0.9285 0.7500
```